A) The following is a PBE-GGA calculation of a relaxed DySnTe3Au crystal, from the Open Quantum Materials Database.

- symmetry = No. 63
- total magnetization (μB per atom) = 0.0001

abc: 7.7123 7.7123 11.1022
angles: 90.00 90.00 32.13
With the nearest neighbours (Å) after each atom.
Fractional coordinates of all 12 atoms:
Au 0.4708 0.4708 0.2500  4 Te 2.80-2.83
Au 0.5292 0.5292 0.7500  4 Te 2.80-2.83
Dy 0.0000 0.0000 0.0000  6 Te 3.12
Dy 0.0000 0.0000 0.5000  6 Te 3.12
Sn 0.7778 0.7778 0.2500  6 Te 3.23-3.43, 2 Au 3.57
Sn 0.2222 0.2222 0.7500  6 Te 3.23-3.43, 2 Au 3.57
Te 0.3517 0.3517 0.0546  1 Au 2.80, 2 Dy 3.12
Te 0.0964 0.0964 0.2500  2 Au 2.83, 2 Dy 3.12
Te 0.3517 0.3517 0.4454  1 Au 2.80, 2 Dy 3.12
Te 0.6483 0.6483 0.5546  1 Au 2.80, 2 Dy 3.12
Te 0.9036 0.9036 0.7500  2 Au 2.83, 2 Dy 3.12
Te 0.6483 0.6483 0.9454  1 Au 2.80, 2 Dy 3.12

B) The following is a PBE-GGA calculation of a relaxed DySnTe3Au crystal, from the Open Quantum Materials Database.

- symmetry = No. 12
- total magnetization (μB per atom) = 0.0005

abc: 10.1495 10.1495 8.7750
angles: 100.83 100.83 24.23
With the nearest neighbours (Å) after each atom.
Fractional coordinates of all 12 atoms:
Au 0.4462 0.4462 0.2856  4 Te 2.73-2.91
Au 0.5538 0.5538 0.7144  4 Te 2.73-2.91
Dy 0.8401 0.8401 0.4083  6 Te 3.08-3.16, 2 Au 3.32
Dy 0.1599 0.1599 0.5917  6 Te 3.08-3.16, 2 Au 3.32
Sn 0.1225 0.1225 0.0748  6 Te 3.20-3.33
Sn 0.8775 0.8775 0.9252  6 Te 3.20-3.33
Te 0.5000 0.5000 0.0000  2 Au 2.91, 4 Sn 3.20
Te 0.3108 0.3108 0.1472  1 Au 2.73
Te 0.6778 0.6778 0.3490  3 Dy 3.08-3.16, 2 Sn 3.24
Te 0.0000 0.0000 0.5000  4 Au 2.91, 2 Dy 3.12
Te 0.3222 0.3222 0.6510  3 Dy 3.08-3.16, 2 Sn 3.24
Te 0.6892 0.6892 0.8528  1 Au 2.73

Which one is most stable, and which one is least stable? A) is the most stable of them, while B) is the least stable.

A) The following is a PBE-GGA calculation of a relaxed YCoMoPb crystal, from the Open Quantum Materials Database.

- symmetry = No. 216
- total magnetization (μB per atom) = 0.4873

abc: 4.7724 4.7724 4.7724
angles: 60.00 60.00 60.00
With the nearest neighbours (Å) after each atom.
Fractional coordinates of all 4 atoms:
Co 0.7500 0.7500 0.7500  4 Pb 2.92, 4 Y 2.92
Mo 0.2500 0.2500 0.2500  4 Pb 2.92, 4 Y 2.92
Pb 0.0000 0.0000 0.0000  4 Mo 2.92, 4 Co 2.92
Y 0.5000 0.5000 0.5000  4 Mo 2.92, 4 Co 2.92

B) The following is a PBE-GGA calculation of a relaxed YCoMoPb crystal, from the Open Quantum Materials Database.

- symmetry = No. 216
- total magnetization (μB per atom) = 0.9881

abc: 4.7925 4.7925 4.7925
angles: 60.00 60.00 60.00
With the nearest neighbours (Å) after each atom.
Fractional coordinates of all 4 atoms:
Co 0.7500 0.7500 0.7500  4 Mo 2.93, 4 Pb 2.93
Mo 0.5000 0.5000 0.5000  4 Co 2.93, 4 Y 2.93
Pb 0.0000 0.0000 0.0000  4 Co 2.93, 4 Y 2.93
Y 0.2500 0.2500 0.2500  4 Pb 2.93, 4 Mo 2.93

Which one is most stable, and which one is least stable? A) is the most stable of them, while B) is the least stable.

A) The following is a PBE-GGA calculation of a relaxed SiGePt2 crystal, from the Open Quantum Materials Database.

- symmetry = No. 11
- total magnetization (μB per atom) = 0.0002

abc: 5.7294 3.6855 6.1194
angles: 90.00 90.32 90.00
With the nearest neighbours (Å) after each atom.
Fractional coordinates of all 8 atoms:
Ge 0.8155 0.7500 0.4128  6 Pt 2.54-2.71
Ge 0.1845 0.2500 0.5872  6 Pt 2.54-2.71
Pt 0.0008 0.2500 0.1821  3 Si 2.42-2.65, 3 Ge 2.56-2.69
Pt 0.4939 0.2500 0.2910  3 Si 2.46-2.54, 3 Ge 2.54-2.71
Pt 0.5061 0.7500 0.7090  3 Si 2.46-2.54, 3 Ge 2.54-2.71
Pt 0.9992 0.7500 0.8179  3 Si 2.42-2.65, 3 Ge 2.56-2.69
Si 0.3152 0.7500 0.0823  6 Pt 2.42-2.65
Si 0.6848 0.2500 0.9177  6 Pt 2.42-2.65

B) The following is a PBE-GGA calculation of a relaxed SiGePt2 crystal, from the Open Quantum Materials Database.

- symmetry = No. 31
- total magnetization (μB per atom) = 0.0002

abc: 3.6531 5.8135 6.0631
angles: 90.00 90.00 90.00
With the nearest neighbours (Å) after each atom.
Fractional coordinates of all 8 atoms:
Ge 0.5000 0.0628 0.4156  6 Pt 2.53-2.72
Ge 0.0000 0.9372 0.9156  6 Pt 2.53-2.72
Pt 0.0000 0.2607 0.1937  3 Ge 2.53-2.54, 3 Si 2.58-2.63
Pt 0.0000 0.7366 0.3057  3 Si 2.44-2.47, 3 Ge 2.64-2.72
Pt 0.5000 0.7393 0.6937  3 Ge 2.53-2.54, 3 Si 2.58-2.63
Pt 0.5000 0.2634 0.8057  3 Si 2.44-2.47, 3 Ge 2.64-2.72
Si 0.5000 0.5664 0.0849  6 Pt 2.44-2.63
Si 0.0000 0.4336 0.5849  6 Pt 2.44-2.63

Which one is most stable, and which one is least stable? A) is the most stable of them, while B) is the least stable.